<P>
Computed, not measured: FeCo2Re after structural relaxation at the PBE-GGA level of DFT.

abc: 3.615 3.615 7.152
angles: 90.00 90.00 90.00
Space group I4/mmm (No. 139)
One atom of each set of equivalent atoms:
Fe1 0.000 0.000 0.000 x2
Co1 0.000 0.500 0.250 x4
Re1 0.000 0.000 0.500 x2

Output
V: 47 Å³/f.u.

***

<Q>
Computed, not measured: FeCo2Re after structural relaxation at the PBE-GGA level of DFT.

abc: 2.6222 2.6222 24.7362
angles: 90.00 90.00 120.00
Space group R3m (No. 160, hexagonal axes)
One atom of each set of equivalent atoms:
Fe1 0.0000 0.0000 0.0000 x3
Co1 0.0000 0.0000 0.4929 x3
Co2 0.0000 0.0000 0.7464 x3
Re1 0.0000 0.0000 0.2461 x3

Output
V: 49 Å³/f.u.

***

<R>
Computed, not measured: FeCo2Re after structural relaxation at the PBE-GGA level of DFT.

abc: 5.775 5.775 5.775
angles: 90.00 90.00 90.00
Space group F-43m (No. 216)
One atom of each set of equivalent atoms:
Fe1 0.000 0.000 0.000 x4
Co1 0.000 0.000 0.500 x4
Co2 0.250 0.250 0.250 x4
Re1 0.250 0.250 0.750 x4

Output
V: 48 Å³/f.u.

***

Stability, descending: <P>, <Q>, <R>

***

<P>
Computed, not measured: FeCo2Re after structural relaxation at the PBE-GGA level of DFT.

abc: 8.455 2.600 4.420
angles: 90.00 100.31 90.00
Space group Cm (No. 8)
One atom of each set of equivalent atoms:
Fe1 0.000 0.000 0.000 x2
Co1 0.248 0.500 0.228 x2
Co2 0.491 0.000 0.485 x2
Re1 0.242 0.000 0.721 x2

Output
V: 48 Å³/f.u.

***

<Q>
Computed, not measured: FeCo2Re after structural relaxation at the PBE-GGA level of DFT.

abc: 2.589 3.593 5.084
angles: 90.00 90.00 90.00
Space group Pmmm (No. 47)
One atom of each set of equivalent atoms:
Fe1 0.000 0.000 0.000 x1
Co1 0.500 0.500 0.246 x2
Re1 0.000 0.000 0.500 x1

Output
V: 47 Å³/f.u.

***

Stability, descending: <Q>, <P>